1.
# Ac2CSe2N2 | Alexandria via LeMat-Bulk | PBE-GGA | optimized geometry
# ΔE_f (raw) in eV per atom: -1.3913
# Calculated volume in A^3/atom: 23.9
# Theoretical density in g/cm³: 6.47
# Density of states at the Fermi level in states/eV/cell: 0.000
data_Ac2CSe2N2
_cell_length_a 9.9877
_cell_length_b 4.6025
_cell_length_c 7.3348
_cell_angle_alpha 90.00
_cell_angle_beta 97.16
_cell_angle_gamma 90.00
_symmetry_space_group_name_H-M 'P 1'
_symmetry_Int_Tables_number 1
loop_
_symmetry_equiv_pos_as_xyz
'x,y,z'
loop_
_atom_site_label
_atom_site_type_symbol
_atom_site_fract_x
_atom_site_fract_y
_atom_site_fract_z
_atom_site_occupancy
Ac1 Ac 0.1788 0.0000 0.2603 1
Ac2 Ac 0.3212 0.5000 0.7397 1
Ac3 Ac 0.6788 0.5000 0.2603 1
Ac4 Ac 0.8212 0.0000 0.7397 1
C1 C 0.0000 0.5000 0.5000 1
C2 C 0.5000 0.0000 0.5000 1
Se1 Se 0.1319 0.0000 0.8331 1
Se2 Se 0.3681 0.5000 0.1669 1
Se3 Se 0.6319 0.5000 0.8331 1
Se4 Se 0.8681 0.0000 0.1669 1
N1 N 0.1137 0.5000 0.4486 1
N2 N 0.3863 0.0000 0.5514 1
N3 N 0.6137 0.0000 0.4486 1
N4 N 0.8863 0.5000 0.5514 1

=====

2.
# InPb2Au2 | Alexandria via LeMat-Bulk | PBE-GGA | optimized geometry
# Calculated volume in A^3/atom: 26.5
# Theoretical density in g/cm³: 11.58
# Density of states at the Fermi level in states/eV/cell: 1.724
# Energy above the lowest structure with this stoichiometry in kJ/mol of formula units: 2
# ΔH_f (0 K) in eV per atom: -0.089
data_InPb2Au2
_cell_length_a 4.5961
_cell_length_b 4.5961
_cell_length_c 7.2356
_cell_angle_alpha 90.00
_cell_angle_beta 90.00
_cell_angle_gamma 120.00
_symmetry_space_group_name_H-M 'P 1'
_symmetry_Int_Tables_number 1
loop_
_symmetry_equiv_pos_as_xyz
'x,y,z'
loop_
_atom_site_label
_atom_site_type_symbol
_atom_site_fract_x
_atom_site_fract_y
_atom_site_fract_z
_atom_site_occupancy
In1 In 0.0000 0.0000 0.0000 1
Pb1 Pb 0.3333 0.6667 0.6590 1
Pb2 Pb 0.6667 0.3333 0.3410 1
Au1 Au 0.3333 0.6667 0.1619 1
Au2 Au 0.6667 0.3333 0.8381 1

=====

3.
# MoP3 | Alexandria via LeMat-Bulk | PBE-GGA | optimized geometry
# Calculated volume in A^3/atom: 14.6
# Theoretical density in g/cm³: 5.37
# Density of states at the Fermi level in states/eV/cell: 17.016
# Energy above the lowest structure with this stoichiometry in kJ/mol of formula units: 302
# ΔH_f (0 K) in eV per atom: 0.538
data_MoP3
_cell_length_a 5.3335
_cell_length_b 5.3335
_cell_length_c 9.4844
_cell_angle_alpha 90.00
_cell_angle_beta 90.00
_cell_angle_gamma 120.00
_symmetry_space_group_name_H-M 'P 1'
_symmetry_Int_Tables_number 1
loop_
_symmetry_equiv_pos_as_xyz
'x,y,z'
loop_
_atom_site_label
_atom_site_type_symbol
_atom_site_fract_x
_atom_site_fract_y
_atom_site_fract_z
_atom_site_occupancy
Mo1 Mo 0.0000 0.0000 0.0000 1
Mo2 Mo 0.0000 0.0000 0.5000 1
Mo3 Mo 0.3333 0.6667 0.2500 1
Mo4 Mo 0.6667 0.3333 0.7500 1
P1 P 0.0000 0.5000 0.0000 1
P2 P 0.0000 0.5000 0.5000 1
P3 P 0.1463 0.2926 0.7500 1
P4 P 0.1463 0.8537 0.7500 1
P5 P 0.2926 0.1463 0.2500 1
P6 P 0.5000 0.0000 0.0000 1
P7 P 0.5000 0.0000 0.5000 1
P8 P 0.5000 0.5000 0.0000 1
P9 P 0.5000 0.5000 0.5000 1
P10 P 0.7074 0.8537 0.7500 1
P11 P 0.8537 0.1463 0.2500 1
P12 P 0.8537 0.7074 0.2500 1

=====

4.
# Li2CaAu6 | Alexandria via LeMat-Bulk | PBE-GGA | optimized geometry
# Calculated volume in A^3/atom: 19.6
# Theoretical density in g/cm³: 11.64
# Density of states at the Fermi level in states/eV/cell: 2.589
# Energy above the lowest structure with this stoichiometry in kJ/mol of formula units: 0
# ΔH_f (0 K) in eV per atom: -0.413
data_Li2CaAu6
_cell_length_a 8.2299
_cell_length_b 8.2299
_cell_length_c 8.2299
_cell_angle_alpha 157.74
_cell_angle_beta 122.87
_cell_angle_gamma 62.08
_symmetry_space_group_name_H-M 'P 1'
_symmetry_Int_Tables_number 1
loop_
_symmetry_equiv_pos_as_xyz
'x,y,z'
loop_
_atom_site_label
_atom_site_type_symbol
_atom_site_fract_x
_atom_site_fract_y
_atom_site_fract_z
_atom_site_occupancy
Li1 Li 0.1436 0.1436 0.0000 1
Li2 Li 0.8564 0.8564 0.0000 1
Ca1 Ca 0.5000 0.0000 0.5000 1
Au1 Au 0.1447 0.3233 0.8214 1
Au2 Au 0.1725 0.5000 0.6725 1
Au3 Au 0.4982 0.6767 0.8214 1
Au4 Au 0.5018 0.3233 0.1786 1
Au5 Au 0.8275 0.5000 0.3275 1
Au6 Au 0.8553 0.6767 0.1786 1

=====

no.,total moment (μB per cell)
1,0.000
2,0.000
3,0.005
4,0.000